1.
Computed, not measured: crystalline RbTlHgAu2 at its relaxed geometry at the PBE level of DFT.

abc: 4.5503 4.8606 13.1302
angles: 90.00 90.00 90.00
Closest atoms and distances in Å follow each position.
Fractional coordinates of all 10 atoms:
Rb: 0.0000 0.0000 0.0000  6 Au 3.58-3.79, 4 Hg 3.65, 2 Tl 3.97
Rb: 0.5000 0.5000 0.5000  6 Au 3.58-3.79, 4 Hg 3.65, 2 Tl 3.97
Tl: 0.0000 0.5000 0.7607  2 Au 2.91, 2 Hg 3.10
Tl: 0.5000 0.0000 0.2607  2 Au 2.91, 2 Hg 3.10
Hg: 0.0000 0.0000 0.6145  3 Au 2.83-3.05, 2 Tl 3.10
Hg: 0.5000 0.5000 0.1145  3 Au 2.83-3.05, 2 Tl 3.10
Au: 0.0000 0.0000 0.3990  1 Hg 2.83, 2 Tl 2.91, 2 Au 2.97
Au: 0.0000 0.5000 0.2693  2 Au 2.97, 2 Hg 3.05
Au: 0.5000 0.0000 0.7693  2 Au 2.97, 2 Hg 3.05
Au: 0.5000 0.5000 0.8990  1 Hg 2.83, 2 Tl 2.91, 2 Au 2.97

Properties
D(E_F)	1.45	states/eV/f.u.
energy	-2.182	eV/atom
size of the total moment	0.00	μB per cell
space-group type	Imm2 (44)

2.
Computed, not measured: crystalline RbTlHg2Au at its relaxed geometry at the PBE level of DFT.

abc: 5.8750 5.8750 5.5539
angles: 90.00 90.00 90.00
Closest atoms and distances in Å follow each position.
Fractional coordinates of all 5 atoms:
Rb: 0.0000 0.0000 0.0000  8 Hg 4.04, 4 Au 4.15
Tl: 0.5000 0.5000 0.5000  2 Au 2.78, 4 Hg 2.94
Hg: 0.0000 0.5000 0.5000  2 Tl 2.94
Hg: 0.5000 0.0000 0.5000  2 Tl 2.94
Au: 0.5000 0.5000 0.0000  2 Tl 2.78

Properties
D(E_F)	2.05	states/eV/f.u.
energy	-1.473	eV/atom
size of the total moment	0.00	μB per cell
space-group type	P4/mmm (123)
offset from the most stable computed form	0.1481	eV per atom

3.
Computed, not measured: crystalline RbZn2HgAu at its relaxed geometry at the PBE level of DFT.

abc: 5.0462 5.0462 5.8566
angles: 90.00 90.00 90.00
Closest atoms and distances in Å follow each position.
Fractional coordinates of all 5 atoms:
Rb: 0.0000 0.0000 0.0000  4 Hg 3.57, 8 Zn 3.87
Zn: 0.0000 0.5000 0.5000  2 Au 2.52
Zn: 0.5000 0.0000 0.5000  2 Au 2.52
Hg: 0.5000 0.5000 0.0000  2 Au 2.93
Au: 0.5000 0.5000 0.5000  4 Zn 2.52

Properties
D(E_F)	1.35	states/eV/f.u.
energy	-1.499	eV/atom
size of the total moment	0.00	μB per cell
space-group type	P4/mmm (123)

Results for calculated volume: 29.0; 38.3; 29.8 (in Å³ per atom, following the order of the records).